20
Lattice="3.631 2.097 11.129 -3.631 2.097 11.129 0.000 -4.193 11.129" Properties=species:S:1:pos:R:3 comment="Ba2NiAgCl6 (PBE, relaxed)" spacegroup="R-3m (166)" mass_density_g_cm3=4.3 dos_ef_per_ev_fu=4.98 e_form_raw_ev_per_fu=-14.798 pbc="T T T"
Ba 0.000 0.000 4.196
Ba 0.000 0.000 9.535
Ba 0.000 0.000 23.851
Ba 0.000 0.000 29.190
Ni 0.000 0.000 0.000
Ni 0.000 0.000 16.693
Ag 0.000 0.000 13.979
Ag 0.000 0.000 19.407
Cl -1.976 -1.141 15.434
Cl 0.000 -2.204 12.510
Cl -1.908 1.102 12.510
Cl -1.908 -1.102 20.876
Cl 0.000 -2.282 17.952
Cl -1.976 1.141 17.952
Cl 1.976 -1.141 15.434
Cl 0.000 2.282 15.434
Cl 1.908 1.102 12.510
Cl 1.908 -1.102 20.876
Cl 0.000 2.204 20.876
Cl 1.976 1.141 17.952